# YZrRh2 SCAN single point on PBEsol structure
# * ρ: 8.613 g/cm3
# * crystal system: orthorhombic
# * DOS(E_F): 5.411 states/eV/cell
# * M_tot: 0.000 μB per cell
data_YZrRh2
_chemical_formula_sum 'Y2 Zr2 Rh4'
_space_group_name_H-M_alt 'A m m 2'
_space_group_IT_number 38
_space_group_name_Hall 'A 2 -2'
_cell_length_a 4.533
_cell_length_b 3.264
_cell_length_c 10.059
_cell_angle_alpha 90.00
_cell_angle_beta 90.00
_cell_angle_gamma 90.00
loop_
_atom_site_label
_atom_site_type_symbol
_atom_site_fract_x
_atom_site_fract_y
_atom_site_fract_z
Y1 Y 0.000 0.000 0.000
Zr1 Zr 0.500 0.000 0.277
Rh1 Rh 0.000 0.000 0.734
Rh2 Rh 0.500 0.000 0.552

# YZrRh2 SCAN single point on PBEsol structure
# * ρ: 8.834 g/cm3
# * crystal system: tetragonal
# * DOS(E_F): 2.734 states/eV/cell
# * M_tot: 0.000 μB per cell
data_YZrRh2
_chemical_formula_sum 'Y1 Zr1 Rh2'
_space_group_name_H-M_alt 'P 4/m m m'
_space_group_IT_number 123
_space_group_name_Hall '-P 4 2'
_cell_length_a 4.683
_cell_length_b 4.683
_cell_length_c 3.307
_cell_angle_alpha 90.00
_cell_angle_beta 90.00
_cell_angle_gamma 90.00
loop_
_atom_site_label
_atom_site_type_symbol
_atom_site_fract_x
_atom_site_fract_y
_atom_site_fract_z
Y1 Y 0.000 0.000 0.000
Zr1 Zr 0.500 0.500 0.000
Rh1 Rh 0.000 0.500 0.500

# YZr2Rh SCAN single point on PBEsol structure
# * ρ: 7.338 g/cm3
# * crystal system: tetragonal
# * DOS(E_F): 4.147 states/eV/cell
# * M_tot: 0.472 μB per cell
# * energy above the lowest structure with this stoichiometry: 0.023 eV per atom
data_YZr2Rh
_chemical_formula_sum 'Y1 Zr2 Rh1'
_space_group_name_H-M_alt 'P 4 m m'
_space_group_IT_number 99
_space_group_name_Hall 'P 4 -2'
_cell_length_a 3.326
_cell_length_b 3.326
_cell_length_c 7.656
_cell_angle_alpha 90.00
_cell_angle_beta 90.00
_cell_angle_gamma 90.00
loop_
_atom_site_label
_atom_site_type_symbol
_atom_site_fract_x
_atom_site_fract_y
_atom_site_fract_z
Y1 Y 0.000 0.000 0.000
Zr1 Zr 0.000 0.000 0.572
Zr2 Zr 0.500 0.500 0.308
Rh1 Rh 0.500 0.500 0.761

# Zn5Rh4 SCAN single point on PBEsol structure
# * ρ: 10.198 g/cm3
# * crystal system: hexagonal
# * DOS(E_F): 5.075 states/eV/cell
# * M_tot: 0.000 μB per cell
# * energy above the lowest structure with this stoichiometry: 0.000 eV per atom
data_Zn5Rh4
_chemical_formula_sum 'Zn10 Rh8'
_space_group_name_H-M_alt 'P 63/m c m'
_space_group_IT_number 193
_space_group_name_Hall '-P 6c 2'
_cell_length_a 7.3868
_cell_length_b 7.3868
_cell_length_c 5.0904
_cell_angle_alpha 90.00
_cell_angle_beta 90.00
_cell_angle_gamma 120.00
loop_
_atom_site_label
_atom_site_type_symbol
_atom_site_fract_x
_atom_site_fract_y
_atom_site_fract_z
Zn1 Zn 0.0000 0.3074 0.2500
Zn2 Zn 0.3333 0.6667 0.0000
Rh1 Rh 0.0000 0.0000 0.0000
Rh2 Rh 0.0000 0.3586 0.7500

# Zn7Rh SCAN single point on PBEsol structure
# * ρ: 8.616 g/cm3
# * crystal system: cubic
# * DOS(E_F): 10.132 states/eV/cell
# * M_tot: 0.000 μB per cell
data_Zn7Rh
_chemical_formula_sum 'Zn28 Rh4'
_space_group_name_H-M_alt 'F m -3 m'
_space_group_IT_number 225
_space_group_name_Hall '-F 4 2 3'
_cell_length_a 7.561
_cell_length_b 7.561
_cell_length_c 7.561
_cell_angle_alpha 90.00
_cell_angle_beta 90.00
_cell_angle_gamma 90.00
loop_
_atom_site_label
_atom_site_type_symbol
_atom_site_fract_x
_atom_site_fract_y
_atom_site_fract_z
Zn1 Zn 0.000 0.000 0.000
Zn2 Zn 0.000 0.250 0.250
Rh1 Rh 0.000 0.000 0.500

# ZnRh3 SCAN single point on PBEsol structure
# * ρ: 11.631 g/cm3
# * crystal system: tetragonal
# * DOS(E_F): 16.463 states/eV/cell
# * M_tot: 0.001 μB per cell
data_ZnRh3
_chemical_formula_sum 'Zn4 Rh12'
_space_group_name_H-M_alt 'I 4/m m m'
_space_group_IT_number 139
_space_group_name_Hall '-I 4 2'
_cell_length_a 3.740
_cell_length_b 3.740
_cell_length_c 15.273
_cell_angle_alpha 90.00
_cell_angle_beta 90.00
_cell_angle_gamma 90.00
loop_
_atom_site_label
_atom_site_type_symbol
_atom_site_fract_x
_atom_site_fract_y
_atom_site_fract_z
Zn1 Zn 0.000 0.000 0.123
Rh1 Rh 0.000 0.000 0.373
Rh2 Rh 0.000 0.500 0.000
Rh3 Rh 0.000 0.500 0.250

# Zn2Rh SCAN single point on PBEsol structure
# * ρ: 9.715 g/cm3
# * crystal system: tetragonal
# * DOS(E_F): 8.563 states/eV/cell
# * M_tot: 0.000 μB per cell
data_Zn2Rh
_chemical_formula_sum 'Zn16 Rh8'
_space_group_name_H-M_alt 'I 41/a m d'
_space_group_IT_number 141
_cell_length_a 3.703
_cell_length_b 3.703
_cell_length_c 23.302
_cell_angle_alpha 90.00
_cell_angle_beta 90.00
_cell_angle_gamma 90.00
loop_
_space_group_symop_operation_xyz
'x,y,z'
'-x,-y,-z'
'-y+1/4,x+3/4,z+1/4'
'y+1/4,-x+3/4,-z+1/4'
'-x+1/2,-y,z+1/2'
'x+1/2,y,-z+1/2'
'y+1/4,-x+1/4,z+3/4'
'-y+1/4,x+1/4,-z+3/4'
'x,-y,-z'
'-x,y,z'
'-y+1/4,-x+1/4,-z+3/4'
'y+1/4,x+1/4,z+3/4'
'-x+1/2,y,-z+1/2'
'x+1/2,-y,z+1/2'
'y+1/4,x+3/4,-z+1/4'
'-y+1/4,-x+3/4,z+1/4'
'x+1/2,y+1/2,z+1/2'
'-x+1/2,-y+1/2,-z+1/2'
'-y+3/4,x+1/4,z+3/4'
'y+3/4,-x+1/4,-z+3/4'
'-x,-y+1/2,z'
'x,y+1/2,-z'
'y+3/4,-x+3/4,z+1/4'
'-y+3/4,x+3/4,-z+1/4'
'x+1/2,-y+1/2,-z+1/2'
'-x+1/2,y+1/2,z+1/2'
'-y+3/4,-x+3/4,-z+1/4'
'y+3/4,x+3/4,z+1/4'
'-x,y+1/2,-z'
'x,-y+1/2,z'
'y+3/4,x+1/4,-z+3/4'
'-y+3/4,-x+1/4,z+3/4'
loop_
_atom_site_label
_atom_site_type_symbol
_atom_site_fract_x
_atom_site_fract_y
_atom_site_fract_z
Zn1 Zn 0.000 0.250 0.124
Zn2 Zn 0.000 0.250 0.287
Rh1 Rh 0.000 0.250 0.799

# ZnRh3 SCAN single point on PBEsol structure
# * ρ: 11.633 g/cm3
# * crystal system: monoclinic
# * DOS(E_F): 7.335 states/eV/cell
# * M_tot: 0.000 μB per cell
data_ZnRh3
_chemical_formula_sum 'Zn2 Rh6'
_space_group_name_H-M_alt 'C 1 2/m 1'
_space_group_IT_number 12
_space_group_name_Hall '-C 2y'
_cell_length_a 8.797
_cell_length_b 2.690
_cell_length_c 4.585
_cell_angle_alpha 90.00
_cell_angle_beta 100.21
_cell_angle_gamma 90.00
loop_
_atom_site_label
_atom_site_type_symbol
_atom_site_fract_x
_atom_site_fract_y
_atom_site_fract_z
Zn1 Zn 0.000 0.000 0.000
Rh1 Rh 0.000 0.500 0.500
Rh2 Rh 0.248 0.000 0.747

| no. | energy of formation from the pure elements (kJ/mol of atoms) | total DFT energy (no corrections) (eV per atom) |
| --- | --- | --- |
| 1 | -83.9 | -32.391 |
| 2 | -86.4 | -32.417 |
| 3 | -41.1 | -31.179 |
| 4 | -31.4 | -22.844 |
| 5 | -16.6 | -16.219 |
| 6 | -13.0 | -28.843 |
| 7 | -36.9 | -20.649 |
| 8 | -15.9 | -28.873 |